NaZrAl, relaxed, DFT PBE; uncorrected energy = -0.116 Ha/atom; energy relative to the elements = 4.18 eV per formula unit; volume = 111.5 Å³/f.u.; total magnetization = 1.8 μB per formula unit; space group = No. 194
1.0
4.1858 -2.4167 0.0000
0.0000 4.8333 0.0000
0.0000 0.0000 11.0268
Al Na Zr
2 2 2
Cartesian
0.0000 0.0000 2.7567
0.0000 0.0000 8.2701
2.7905 0.0000 8.2701
1.3953 2.4167 2.7567
0.0000 0.0000 0.0000
0.0000 0.0000 5.5134